Entry 1:
! Sm2GeSe5 (PBE-GGA, relaxed); values from VASP
&SYSTEM
  ibrav = 0, nat = 16, ntyp = 3
/
ATOMIC_SPECIES
Sm 150.36 Sm.upf
Ge 72.64 Ge.upf
Se 78.96 Se.upf
CELL_PARAMETERS angstrom
-0.769 4.830 3.132
-6.765 -3.107 -2.255
-0.356 -7.039 10.770
ATOMIC_POSITIONS angstrom
Sm -5.258 -1.038 5.695
Sm -5.133 1.435 1.911
Sm -2.633 -4.278 5.951
Sm -2.758 -6.751 9.735
Ge -5.062 -3.291 9.218
Ge -2.828 -2.025 2.429
Se -7.447 -4.634 10.705
Se -7.334 -2.398 7.283
Se -4.503 -3.280 3.952
Se -4.392 -1.084 0.593
Se -3.483 0.364 3.968
Se -4.408 -5.680 7.678
Se -3.388 -2.036 7.694
Se -3.499 -4.232 11.054
Se -0.444 -0.681 0.942
Se -0.557 -2.918 4.363
! E = -40.44 eV per formula unit
! Energy relative to the elements, uncorrected = -1121 meV per atom



Entry 2:
! Sm3GeSe6 (PBE-GGA, relaxed); values from VASP
&SYSTEM
  ibrav = 0, nat = 20, ntyp = 3
/
ATOMIC_SPECIES
Sm 150.36 Sm.upf
Ge 72.64 Ge.upf
Se 78.96 Se.upf
CELL_PARAMETERS angstrom
-6.593 2.093 -1.024
-1.850 -1.543 8.758
2.739 8.660 0.068
ATOMIC_POSITIONS angstrom
Sm -2.904 5.818 7.557
Sm -5.303 8.862 5.345
Sm -1.670 5.365 3.170
Sm -5.860 4.426 4.349
Sm -5.865 4.365 -0.231
Sm -3.466 1.322 1.982
Ge 1.666 6.671 1.780
Ge -4.385 1.592 6.485
Se -0.775 4.773 5.929
Se -3.780 6.469 4.865
Se 0.311 7.584 3.677
Se -5.128 3.867 7.222
Se 1.416 8.675 0.189
Se -2.560 7.782 1.310
Se -1.837 1.014 6.695
Se -6.150 0.228 7.764
Se 0.008 5.159 0.670
Se -5.431 1.442 4.216
Se -1.063 2.468 3.071
Se -4.068 4.164 2.006
! E = -54.05 eV per formula unit
! Energy relative to the elements, uncorrected = -1437 meV per atom



Entry 3:
! Sm6SnGe2Se3 (PBE-GGA, relaxed); values from VASP
&SYSTEM
  ibrav = 0, nat = 12, ntyp = 4
/
ATOMIC_SPECIES
Sm 150.36 Sm.upf
Sn 118.71 Sn.upf
Ge 72.64 Ge.upf
Se 78.96 Se.upf
CELL_PARAMETERS angstrom
4.246 0.000 0.000
0.000 8.576 0.288
-2.123 -2.493 8.973
ATOMIC_POSITIONS angstrom
Sm 0.000 6.122 6.182
Sm 2.123 4.101 3.217
Sm 2.123 -0.038 3.078
Sm 0.000 2.212 0.127
Sm 2.123 3.871 9.134
Sm 0.000 1.982 6.044
Sn 2.123 0.000 0.000
Ge 2.123 4.050 6.170
Ge 0.000 2.033 3.091
Se 2.123 4.288 0.144
Se 2.123 -0.226 6.044
Se 0.000 6.309 3.217
! E = -68.21 eV per formula unit
! Energy relative to the elements, uncorrected = -1350 meV per atom



Entry 4:
! TbSmGeSe (PBE-GGA, relaxed); values from VASP
&SYSTEM
  ibrav = 0, nat = 4, ntyp = 4
/
ATOMIC_SPECIES
Tb 158.93 Tb.upf
Sm 150.36 Sm.upf
Ge 72.64 Ge.upf
Se 78.96 Se.upf
CELL_PARAMETERS angstrom
4.181 0.000 0.000
2.091 3.621 0.000
2.091 1.207 6.880
ATOMIC_POSITIONS angstrom
Tb 6.272 3.621 1.226
Sm 4.181 2.414 4.515
Ge 2.091 1.207 2.844
Se 6.272 3.621 6.349
! E = -23.04 eV per formula unit
! Energy relative to the elements, uncorrected = -1398 meV per atom



Q: Among the records above, which one has the lowest energy relative to the elements, uncorrected?
A: Sm3GeSe6



Q: Number 1 is which compound?
A: Sm2GeSe5



Q: What is the energy relative to the elements, uncorrected in the third record?
A: -1350 meV per atom



Q: Look up the E of the third one.
A: -68.21 eV per formula unit